Material: MnW
Method: DFT, meta-GGA SCAN
State: PBEsol geometry

It has space group Cmme (No. 67), with a = 3.4653 Å, b = 4.0044 Å, c = 7.5728 Å, α = 90.00°, β = 90.00° and γ = 90.00°. The inequivalent atoms are Mn at (0.0000, 0.2500, 0.0906) and W at (0.0000, 0.2500, 0.6500).

For the total energy, the calculation gives -349.9 eV/cell. The formation energy is 0.23 eV/atom. The density of states at the Fermi level comes out at 0.878 states/eV per atom. Its size of the total moment is 0.0 μB/f.u.